No. 1
## HgSbIr2 (GGA-PBE)

Data for HgSbIr2 after structural relaxation.

extended XYZ file:
```
4
Lattice="-4.6114 0.7926 0.9690 1.5663 -0.7051 4.4588 0.5887 3.0823 0.2806" Properties=species:S:1:pos:R:3 pbc="T T T"
Ir 0.0000 0.0000 0.0000
Ir -1.5225 0.0437 2.7139
Hg 1.0775 1.1886 2.3697
Sb -2.0113 1.9374 0.6248
```

Results
The value obtained for the uncorrected formation energy is 9.703 kcal/mol of atoms.

---

No. 2
## La2Zn15In2 (GGA-PBE)

Data for La2Zn15In2 after structural relaxation.

extended XYZ file:
```
19
Lattice="-2.5872 1.2374 6.4039 -4.0534 -5.7183 0.3259 4.5826 -4.0112 3.4850" Properties=species:S:1:pos:R:3 pbc="T T T"
Zn -0.0960 -6.0987 3.5579
Zn -0.4008 -0.3632 5.5138
Zn -1.4198 -5.1977 1.2892
Zn -1.2936 0.6187 3.2020
Zn -2.6639 -5.7230 3.7474
Zn -2.0267 -2.8591 0.1629
Zn 2.2913 -2.0056 1.7425
Zn 2.3961 -2.4107 4.3751
Zn -1.9620 -2.3934 6.6568
Zn 1.4700 -4.9059 5.2596
Zn 0.6058 -2.7692 6.4674
Zn -3.5280 -3.5863 4.9552
Zn 1.9490 -4.5318 2.5216
Zn -3.0343 -0.8838 4.5504
Zn -3.6063 -3.5971 2.1794
In -1.8436 -7.6072 9.1503
In -0.2145 -0.8850 1.0645
La -1.3554 -5.5929 6.7274
La -0.7026 -2.8993 3.4874
```

Results
Its formation energy is -227 meV/atom.

---

No. 3
## BeZn2AuCl (GGA-PBE)

Data for BeZn2AuCl after structural relaxation.

extended XYZ file:
```
5
Lattice="-1.4593 -4.0556 2.2073 4.5815 -1.9181 -0.4955 1.2508 1.8811 4.2832" Properties=species:S:1:pos:R:3 pbc="T T T"
Au 2.2907 -0.9591 -0.2477
Zn 0.6254 0.9406 2.1416
Zn -0.7296 -2.0278 1.1037
Cl 0.0000 0.0000 0.0000
Be 2.1865 -2.0463 2.9975
```

Results
The value obtained for the uncorrected formation energy is 25.076 kcal/mol of atoms.

---

No. 4
## HfTlAs2 (GGA-PBE)

Data for HfTlAs2 after structural relaxation.

extended XYZ file:
```
4
Lattice="4.1545 -1.7736 2.0477 -0.1179 -1.9453 4.5608 0.5651 -4.8874 0.6267" Properties=species:S:1:pos:R:3 pbc="T T T"
Hf 0.0000 0.0000 0.0000
As 3.4513 -6.4548 5.4264
As 1.1504 -2.1516 1.8088
Tl 2.3009 -4.3032 3.6176
```

Results
Its formation energy is 20 meV/atom.

---

No. 5
## Sm2IrSe (GGA-PBE)

Data for Sm2IrSe after structural relaxation.

extended XYZ file:
```
4
Lattice="-0.4861 4.0433 -0.2136 -0.1769 1.8433 -3.6334 -7.4319 1.0905 -1.3736" Properties=species:S:1:pos:R:3 pbc="T T T"
Sm -1.8212 1.7688 -1.3026
Sm -5.8229 1.2850 -1.3532
Ir -0.4531 3.9231 -2.5648
Se -4.0451 3.4888 -2.6103
```

Results
The value obtained for the uncorrected formation energy is -26.827 kcal/mol of atoms.

---

No. 6
## BaZrO2F (GGA-PBE)

Data for BaZrO2F after structural relaxation.

extended XYZ file:
```
5
Lattice="-3.1352 2.9207 -0.1741 -1.2372 -1.0921 3.9582 2.7097 3.0087 1.6771" Properties=species:S:1:pos:R:3 pbc="T T T"
O -0.6186 -0.5461 1.9791
O -1.5676 1.4604 -0.0871
Ba -0.8313 2.4187 2.7306
F 1.3549 1.5043 0.8386
Zr 0.0000 0.0000 0.0000
```

Results
The value obtained for the uncorrected formation energy is -68.037 kcal/mol of atoms.

---

No. 7
## Ta4Mo3 (GGA-PBE)

Data for Ta4Mo3 after structural relaxation.

extended XYZ file:
```
7
Lattice="7.0447 -0.0144 -0.0090 5.5511 4.3375 -0.0090 5.5511 1.9052 3.8967" Properties=species:S:1:pos:R:3 pbc="T T T"
Ta 7.7290 2.6527 1.6520
Ta 2.6288 0.9022 0.5619
Ta 10.3541 3.5537 2.2131
Ta 12.9802 4.4550 2.7744
Mo 18.1035 6.2134 3.8694
Mo 15.5749 5.3455 3.3290
Mo 5.2174 1.7907 1.1152
```

Results
Its formation energy is -108 meV/atom.

---

No. 8
## Mg2Mo (GGA-PBE)

Data for Mg2Mo after structural relaxation.

extended XYZ file:
```
6
Lattice="0.0000 3.7650 3.7650 3.7650 0.0000 3.7650 3.7650 3.7650 0.0000" Properties=species:S:1:pos:R:3 pbc="T T T"
Mg 0.9412 0.9412 0.9412
Mg 2.8237 2.8237 0.9412
Mg 0.9412 2.8237 2.8237
Mg 2.8237 0.9412 2.8237
Mo 5.6475 5.6475 5.6475
Mo 3.7650 3.7650 3.7650
```

Results
Its formation energy is 654 meV/atom.

---

| no. | energy (eV per atom) |
| --- | --- |
| 1 | -5.12 |
| 2 | -2.04 |
| 3 | -1.19 |
| 4 | -5.38 |
| 5 | -6.61 |
| 6 | -7.40 |
| 7 | -11.52 |
| 8 | -4.02 |